# 1
{
  "formula": "Nd4Er3Pu",
  "functional": "PBE",
  "state": "optimized geometry",
  "cell": [[-2.833, 0.587, -1.919], [-6.373, -6.153, 7.525], [3.416, 8.168, 0.594]],
  "species": ["Nd", "Er", "Nd", "Nd", "Pu", "Er", "Nd", "Er"],
  "fractional_positions": [[0.631, 0.379, 0.261], [0.233, 0.233, 0.466], [0.369, 0.621, 0.739], [0.369, 0.118, 0.739], [0.500, 0.000, 0.000], [0.767, 0.767, 0.534], [0.631, 0.882, 0.261], [0.000, 0.500, 0.000]],
  "e_form_ev_per_fu": 1.3
}

# 2
{
  "formula": "TeOs2Pb",
  "functional": "PBE",
  "state": "optimized geometry",
  "cell": [[-3.625, -1.806, 1.775], [0.087, -2.199, -2.059], [3.627, -2.804, 4.556]],
  "species": ["Os", "Os", "Te", "Pb"],
  "fractional_positions": [[0.000, 0.420, 0.571], [0.000, 0.080, 0.929], [0.500, 0.750, 0.750], [0.500, 0.250, 0.250]],
  "e_above_lowest_polymorph_mev_per_atom": 700,
  "e_form_raw_ev_per_atom": 1.18
}

# 3
{
  "formula": "HoScIrO6",
  "functional": "PBE",
  "state": "optimized geometry",
  "cell": [[5.279, 0.000, 0.000], [-2.640, 4.572, 0.000], [0.000, 0.000, 9.684]],
  "species": ["O", "O", "Ho", "O", "O", "Ho", "Ir", "O", "O", "Sc", "O", "Ir", "O", "Sc", "O", "O", "O", "O"],
  "fractional_positions": [[0.659, 0.022, 0.363], [0.341, 0.363, 0.863], [0.000, 0.000, 0.000], [0.978, 0.341, 0.137], [0.363, 0.022, 0.137], [0.000, 0.000, 0.500], [0.667, 0.333, 0.250], [0.637, 0.978, 0.863], [0.341, 0.978, 0.637], [0.333, 0.667, 0.250], [0.978, 0.637, 0.363], [0.333, 0.667, 0.750], [0.637, 0.659, 0.637], [0.667, 0.333, 0.750], [0.022, 0.659, 0.863], [0.659, 0.637, 0.137], [0.363, 0.341, 0.363], [0.022, 0.363, 0.637]],
  "e_form_raw_ev_per_atom": -2.22
}

# 4
{
  "formula": "Nd2Co3SiNi12",
  "functional": "PBE",
  "state": "optimized geometry",
  "cell": [[0.224, 4.131, 8.035], [1.528, -1.682, 8.747], [5.706, 2.100, 6.686]],
  "species": ["Ni", "Co", "Ni", "Ni", "Ni", "Ni", "Ni", "Si", "Co", "Nd", "Ni", "Ni", "Ni", "Ni", "Ni", "Ni", "Nd", "Co"],
  "fractional_positions": [[0.417, 0.810, 0.417], [0.000, 0.000, 0.500], [0.583, 0.583, 0.190], [0.654, 0.068, 0.068], [0.417, 0.417, 0.810], [0.346, 0.932, 0.932], [0.190, 0.583, 0.583], [0.000, 0.000, 0.000], [0.000, 0.500, 0.000], [0.653, 0.653, 0.653], [0.932, 0.932, 0.346], [0.583, 0.190, 0.583], [0.932, 0.346, 0.932], [0.810, 0.417, 0.417], [0.068, 0.654, 0.068], [0.068, 0.068, 0.654], [0.347, 0.347, 0.347], [0.500, 0.000, 0.000]],
  "e_form_raw_ev_per_atom": 0.17
}

# 5
{
  "formula": "LiZrSc2",
  "functional": "PBE",
  "state": "optimized geometry",
  "cell": [[4.283, 0.000, 0.000], [0.000, 4.558, 0.000], [0.000, 0.000, 4.558]],
  "species": ["Sc", "Sc", "Zr", "Li"],
  "fractional_positions": [[0.000, 0.500, 0.500], [0.000, 0.000, 0.000], [0.500, 0.500, 0.000], [0.500, 0.000, 0.500]],
  "e_form_ev_per_fu": 1.0,
  "e_above_lowest_polymorph_mev_per_atom": 188
}

# 6
{
  "formula": "CePrGeSe",
  "functional": "PBE",
  "state": "optimized geometry",
  "cell": [[-2.795, -1.512, -2.860], [1.384, -1.494, -3.759], [0.152, -7.381, 0.558]],
  "species": ["Se", "Pr", "Ce", "Ge"],
  "fractional_positions": [[0.942, 0.942, 0.175], [0.696, 0.696, 0.911], [0.191, 0.191, 0.426], [0.447, 0.447, 0.659]],
  "e_form_raw_ev_per_atom": -1.34
}

# 7
{
  "formula": "TiTcPdO6",
  "functional": "PBE",
  "state": "optimized geometry",
  "cell": [[-1.854, -0.495, -4.672], [-2.830, -1.265, 3.987], [-3.243, 8.478, 0.388]],
  "species": ["O", "O", "O", "Tc", "Ti", "O", "Ti", "O", "O", "O", "O", "Pd", "Tc", "O", "O", "O", "O", "Pd"],
  "fractional_positions": [[0.355, 0.004, 0.632], [0.650, 0.645, 0.632], [0.650, 0.004, 0.868], [0.667, 0.333, 0.750], [0.667, 0.333, 0.250], [0.996, 0.645, 0.868], [0.333, 0.667, 0.750], [0.004, 0.650, 0.368], [0.355, 0.350, 0.868], [0.645, 0.650, 0.132], [0.350, 0.996, 0.132], [0.000, 0.000, 0.500], [0.333, 0.667, 0.250], [0.996, 0.350, 0.632], [0.350, 0.355, 0.368], [0.004, 0.355, 0.132], [0.645, 0.996, 0.368], [0.000, 0.000, 0.000]],
  "e_form_raw_ev_per_atom": -1.57
}

# 8
{
  "formula": "Y2GaIr3",
  "functional": "PBE",
  "state": "optimized geometry",
  "cell": [[-0.185, -2.802, -4.793], [-2.129, -2.245, 4.613], [-7.250, 3.384, -1.699]],
  "species": ["Ga", "Y", "Y", "Ir", "Y", "Ir", "Ir", "Ir", "Ga", "Ir", "Y", "Ir"],
  "fractional_positions": [[0.000, 0.000, 0.000], [0.333, 0.667, 0.938], [0.667, 0.333, 0.438], [0.170, 0.341, 0.250], [0.667, 0.333, 0.062], [0.659, 0.829, 0.250], [0.830, 0.171, 0.750], [0.341, 0.171, 0.750], [0.000, 0.000, 0.500], [0.170, 0.829, 0.250], [0.333, 0.667, 0.562], [0.830, 0.659, 0.750]],
  "e_form_ev_per_fu": -4.9
}

# 9
{
  "formula": "PuInI2",
  "functional": "PBE",
  "state": "optimized geometry",
  "cell": [[4.234, 0.000, 0.000], [2.117, 3.667, 0.000], [2.117, 1.222, 10.957]],
  "species": ["I", "In", "Pu", "I"],
  "fractional_positions": [[0.094, 0.094, 0.719], [0.500, 0.500, 0.500], [0.000, 0.000, 0.000], [0.906, 0.906, 0.281]],
  "e_form_raw_ev_per_atom": -0.20
}

# 10
{
  "formula": "Er3HfS6",
  "functional": "PBE",
  "state": "optimized geometry",
  "cell": [[-2.491, 6.316, -3.881], [-4.073, -4.884, -4.552], [-5.749, 0.496, 5.279]],
  "species": ["S", "Hf", "S", "S", "Er", "Hf", "S", "Er", "S", "Er", "S", "S", "Er", "S", "S", "Er", "S", "S", "Er", "S"],
  "fractional_positions": [[0.551, 0.417, 0.190], [0.000, 0.000, 0.000], [0.190, 0.551, 0.417], [0.690, 0.067, 0.921], [0.584, 0.090, 0.262], [0.500, 0.500, 0.500], [0.067, 0.921, 0.690], [0.416, 0.910, 0.738], [0.921, 0.690, 0.067], [0.090, 0.262, 0.584], [0.449, 0.583, 0.810], [0.079, 0.310, 0.933], [0.738, 0.416, 0.910], [0.417, 0.190, 0.551], [0.810, 0.449, 0.583], [0.910, 0.738, 0.416], [0.310, 0.933, 0.079], [0.933, 0.079, 0.310], [0.262, 0.584, 0.090], [0.583, 0.810, 0.449]],
  "e_form_raw_ev_per_atom": -1.87
}

# 11
{
  "formula": "LaP2W",
  "functional": "PBE",
  "state": "optimized geometry",
  "cell": [[3.772, 0.000, 0.000], [0.000, 4.056, 0.000], [0.000, 0.000, 5.304]],
  "species": ["W", "P", "P", "La"],
  "fractional_positions": [[0.500, 0.500, 0.000], [0.000, 0.000, 0.000], [0.500, 0.500, 0.500], [0.000, 0.000, 0.500]],
  "e_form_ev_per_fu": -0.6,
  "e_above_lowest_polymorph_mev_per_atom": 545
}

# 12
{
  "formula": "Ba2Sn2Pd",
  "functional": "PBE",
  "state": "optimized geometry",
  "cell": [[-8.714, 1.609, 1.460], [-1.600, -0.668, -8.812], [-0.822, -4.927, 0.523]],
  "species": ["Sn", "Ba", "Sn", "Ba", "Ba", "Pd", "Ba", "Sn", "Sn", "Pd"],
  "fractional_positions": [[0.393, 0.107, 0.500], [0.194, 0.306, 0.000], [0.607, 0.893, 0.500], [0.806, 0.694, 0.000], [0.694, 0.194, 0.000], [0.500, 0.500, 0.000], [0.306, 0.806, 0.000], [0.893, 0.393, 0.500], [0.107, 0.607, 0.500], [0.000, 0.000, 0.000]],
  "e_form_ev_per_fu": -0.7,
  "e_above_lowest_polymorph_mev_per_atom": 526
}